Here is crystalline HfSnWO6 at its relaxed geometry from Alexandria via LeMat-Bulk. Energies are from PBE with a Hubbard U.

The structure belongs to space group P-31c (No. 163); the cell edges are 5.4151, 5.4151 and 10.4045 Å and the angles 90.00°, 90.00° and 120.00°. The distinct sites, in fractional coordinates, are Hf at (0.3333, 0.6667, 0.2500), Sn at (0.0000, 0.0000, 0.0000), W at (0.3333, 0.6667, 0.7500) and O at (0.0175, 0.3844, 0.6447).

The value obtained for the total energy is -7.960 eV per atom. The crystal system is trigonal.